Dy5Cd2IrRu2: optimized geometry, PBE.

Unit cell a=11.5968 b=11.5968 c=3.5110 alpha=90.00 beta=90.00 gamma=90.00
Closest atoms and distances in Å follow each position.
Space group P4/mbm (No. 127)
Asymmetric unit:
1 Dy 0.0000 0.5000 0.0000 x2  4 Ru 2.80
2 Dy 0.0670 0.1949 0.0000 x8  2 Ru 2.77, 2 Ir 2.97
3 Cd 0.1806 0.6806 0.5000 x4  1 Ru 3.06, 4 Dy 3.42
4 Ir 0.0000 0.0000 0.5000 x2  8 Dy 2.97
5 Ru 0.1331 0.3669 0.5000 x4  6 Dy 2.77-2.80, 1 Cd 3.06

Summary:
**Spin magnetization**: 0.000 μB/atom

***

Dy5Cd2Ir2Ru: optimized geometry, PBE.

Unit cell a=11.5720 b=11.5720 c=3.5775 alpha=90.00 beta=90.00 gamma=90.00
Closest atoms and distances in Å follow each position.
Space group P4/mbm (No. 127)
Asymmetric unit:
1 Dy 0.0000 0.5000 0.0000 x2  4 Ir 2.82
2 Dy 0.0678 0.1947 0.0000 x8  2 Ir 2.78, 2 Ru 2.98
3 Cd 0.1791 0.6791 0.5000 x4  1 Ir 3.07, 6 Dy 3.43-3.44
4 Ir 0.1331 0.3669 0.5000 x4  6 Dy 2.78-2.82, 1 Cd 3.07
5 Ru 0.0000 0.0000 0.5000 x2  8 Dy 2.98

Summary:
**Spin magnetization**: 0.000 μB/atom

***

SmDyCdIr: optimized geometry, PBE.

Unit cell a=7.1987 b=7.1987 c=7.1987 alpha=90.00 beta=90.00 gamma=90.00
Closest atoms and distances in Å follow each position.
Space group F-43m (No. 216)
Asymmetric unit:
1 Sm 0.0000 0.0000 0.0000 x4  4 Cd 3.12, 4 Ir 3.12
2 Dy 0.0000 0.0000 0.5000 x4  4 Cd 3.12, 4 Ir 3.12
3 Cd 0.2500 0.2500 0.2500 x4  4 Dy 3.12, 4 Sm 3.12
4 Ir 0.2500 0.2500 0.7500 x4  4 Dy 3.12, 4 Sm 3.12

Summary:
**Spin magnetization**: 0.000 μB/atom

***

Dy5Tl2CdIr2: optimized geometry, PBE.

Unit cell a=12.0579 b=12.0579 c=3.6355 alpha=90.00 beta=90.00 gamma=90.00
Closest atoms and distances in Å follow each position.
Space group P4/mbm (No. 127)
Asymmetric unit:
1 Dy 0.0000 0.5000 0.0000 x2  4 Ir 2.87
2 Dy 0.0772 0.2075 0.0000 x8  2 Ir 2.75
3 Tl 0.1729 0.6729 0.5000 x4  3 Ir 3.36-3.69, 6 Dy 3.46-3.54, 2 Tl 3.64
4 Cd 0.0000 0.0000 0.5000 x2  8 Dy 3.23
5 Ir 0.1301 0.3699 0.5000 x4  6 Dy 2.75-2.87

Summary:
**Spin magnetization**: 0.000 μB/atom

***

DyTmCdIr: optimized geometry, PBE.

Unit cell a=7.0729 b=7.0729 c=7.0729 alpha=90.00 beta=90.00 gamma=90.00
Closest atoms and distances in Å follow each position.
Space group F-43m (No. 216)
Asymmetric unit:
1 Dy 0.0000 0.0000 0.0000 x4  4 Cd 3.06, 4 Ir 3.06
2 Tm 0.0000 0.0000 0.5000 x4  4 Cd 3.06, 4 Ir 3.06
3 Cd 0.2500 0.2500 0.2500 x4  4 Dy 3.06, 4 Tm 3.06
4 Ir 0.2500 0.2500 0.7500 x4  4 Dy 3.06, 4 Tm 3.06

Summary:
**Spin magnetization**: 0.000 μB/atom

***

DyYCdIr: optimized geometry, PBE.

Unit cell a=7.1289 b=7.1289 c=7.1289 alpha=90.00 beta=90.00 gamma=90.00
Closest atoms and distances in Å follow each position.
Space group F-43m (No. 216)
Asymmetric unit:
1 Dy 0.0000 0.0000 0.0000 x4  4 Ir 3.09, 4 Cd 3.09
2 Y 0.0000 0.0000 0.5000 x4  4 Cd 3.09, 4 Ir 3.09
3 Cd 0.2500 0.2500 0.2500 x4  4 Dy 3.09, 4 Y 3.09
4 Ir 0.2500 0.2500 0.7500 x4  4 Dy 3.09, 4 Y 3.09

Summary:
**Spin magnetization**: 0.000 μB/atom

***

Asked for DOS at the Fermi energy across the records above, the calculation gives 12.63 12.03 10.69 13.94 10.78 10.51 states/eV/cell in order.
Asked for final energy across the records above, the calculation gives -111.71 -113.21 -84.48 -102.62 -84.58 -92.21 eV/cell in order.
Asked for calculated formation energy across the records above, the calculation gives -0.36 -0.48 -0.51 -0.49 -0.57 -0.55 eV per atom in order.